(1)
First-principles (PBE-GGA) data for a relaxed structure of Sc3BeAs, as listed in the Alexandria database.

```
Sc3BeAs
1.0
4.706 0.000 0.000
0.000 4.706 0.000
0.000 0.000 4.706
Sc Be As
3 1 1
direct
0.000 0.000 0.500
0.000 0.500 0.000
0.500 0.000 0.000
0.000 0.000 0.000
0.500 0.500 0.500
```

Summary:
Its magnetization is 0.00 μB/cell. Its calculated total energy is -5.63 eV per atom. The formation energy comes out at -0.155 eV/atom.

(2)
First-principles (PBE-GGA) data for a relaxed structure of KTl6Te4, as listed in the Alexandria database.

```
KTl6Te4
1.0
-4.415 4.415 5.870
4.415 -4.415 5.870
4.415 4.415 -5.870
K Tl Te
1 6 4
direct
0.000 0.000 0.000
0.000 0.500 0.500
0.216 0.499 0.000
0.499 0.216 0.000
0.500 0.000 0.500
0.501 0.501 0.717
0.784 0.784 0.283
0.145 0.145 0.530
0.385 0.855 0.000
0.615 0.615 0.470
0.855 0.385 0.000
```

Summary:
Its magnetization is 0.00 μB/cell. Its calculated total energy is -2.85 eV per atom. The formation energy (no corrections) is -3.541 eV per formula unit.

(3)
First-principles (PBE-GGA) data for a relaxed structure of LiPmMg4, as listed in the Alexandria database.

```
LiPmMg4
1.0
3.451 0.000 0.000
0.000 3.451 0.000
0.000 0.000 12.047
Li Pm Mg
1 1 4
direct
0.000 0.000 0.000
0.500 0.500 0.500
0.000 0.000 0.300
0.000 0.000 0.700
0.500 0.500 0.140
0.500 0.500 0.860
```

Summary:
Its magnetization is 0.00 μB/cell. Its calculated total energy is -2.24 eV per atom. The formation energy comes out at -0.064 eV/atom.

(4)
First-principles (PBE-GGA) data for a relaxed structure of Th4RhSeS2, as listed in the Alexandria database.

```
Th4RhSeS2
1.0
7.176 0.000 0.000
0.000 4.048 0.000
-2.385 0.000 6.879
Th Rh Se S
4 1 1 2
direct
0.238 0.000 0.241
0.256 0.500 0.764
0.744 0.500 0.236
0.762 0.000 0.759
0.500 0.000 0.000
0.500 0.500 0.500
0.000 0.000 0.500
0.000 0.500 0.000
```

Summary:
Its magnetization is 0.00 μB/cell. Its calculated total energy is -7.59 eV per atom. The formation energy (no corrections) is -11.969 eV per formula unit.

(5)
First-principles (PBE-GGA) data for a relaxed structure of Ac2NiPdAu6, as listed in the Alexandria database.

```
Ac2NiPdAu6
1.0
6.341 -2.745 0.000
6.341 2.745 0.000
-6.316 0.000 6.696
Ac Ni Pd Au
2 1 1 6
direct
0.033 0.033 0.295
0.967 0.967 0.705
0.500 0.500 0.000
0.500 0.500 0.500
0.012 0.511 0.751
0.351 0.351 0.099
0.489 0.988 0.249
0.511 0.012 0.751
0.649 0.649 0.901
0.988 0.489 0.249
```

Summary:
Its magnetization is 0.00 μB/cell. Its calculated total energy is -4.38 eV per atom. The formation energy comes out at -0.495 eV/atom.

(6)
First-principles (PBE-GGA) data for a relaxed structure of AlCr2As, as listed in the Alexandria database.

```
AlCr2As
1.0
1.447 0.836 7.863
-1.447 0.836 7.863
0.000 -1.671 7.863
Al Cr As
1 2 1
direct
0.000 0.000 0.000
0.488 0.488 0.488
0.751 0.751 0.751
0.233 0.233 0.233
```

Summary:
Its magnetization is 0.00 μB/cell. Its calculated total energy is -6.79 eV per atom. The formation energy comes out at 0.116 eV/atom.

(7)
First-principles (PBE-GGA) data for a relaxed structure of Sc2MnAgC, as listed in the Alexandria database.

```
Sc2MnAgC
1.0
4.611 0.000 0.000
0.000 4.611 0.000
0.000 0.000 3.706
Sc Mn Ag C
2 1 1 1
direct
0.000 0.500 0.000
0.500 0.000 0.000
0.000 0.000 0.500
0.500 0.500 0.500
0.000 0.000 0.000
```

Summary:
Its magnetization is 0.18 μB/cell. Its calculated total energy is -7.08 eV per atom. The formation energy comes out at -0.297 eV/atom.

(8)
First-principles (PBE-GGA) data for a relaxed structure of RbPdRuCl6, as listed in the Alexandria database.

```
RbPdRuCl6
1.0
6.437 0.000 0.000
-3.218 5.575 0.000
0.000 0.000 7.368
Rb Pd Ru Cl
1 1 1 6
direct
0.000 0.000 0.000
0.667 0.333 0.500
0.333 0.667 0.500
0.019 0.372 0.681
0.019 0.647 0.319
0.353 0.372 0.319
0.353 0.981 0.681
0.628 0.647 0.681
0.628 0.981 0.319
```

Summary:
Its magnetization is 1.04 μB/cell. Its calculated total energy is -3.72 eV per atom. The formation energy (no corrections) is -6.950 eV per formula unit.

(9)
First-principles (PBE-GGA) data for a relaxed structure of ScTl, as listed in the Alexandria database.

```
ScTl
1.0
8.085 0.000 0.000
0.000 8.085 0.000
0.000 0.000 8.085
Sc Tl
6 6
direct
0.000 0.250 0.500
0.000 0.750 0.500
0.250 0.500 0.000
0.500 0.000 0.250
0.500 0.000 0.750
0.750 0.500 0.000
0.000 0.500 0.250
0.000 0.500 0.750
0.250 0.000 0.500
0.500 0.250 0.000
0.500 0.750 0.000
0.750 0.000 0.500
```

Summary:
Its magnetization is 0.05 μB/cell. Its calculated total energy is -3.58 eV per atom. The formation energy comes out at 0.773 eV/atom.

(10)
First-principles (PBE-GGA) data for a relaxed structure of Dy2InAg, as listed in the Alexandria database.

```
Dy2InAg
1.0
0.000 3.713 3.713
3.713 0.000 3.713
3.713 3.713 0.000
Dy In Ag
2 1 1
direct
0.250 0.250 0.250
0.750 0.750 0.750
0.000 0.000 0.000
0.500 0.500 0.500
```

Summary:
Its magnetization is 0.00 μB/cell. Its calculated total energy is -4.10 eV per atom. The formation energy comes out at -0.398 eV/atom.

(11)
First-principles (PBE-GGA) data for a relaxed structure of KAg2Se, as listed in the Alexandria database.

```
KAg2Se
1.0
-2.215 2.215 4.811
2.215 -2.215 4.811
2.215 2.215 -4.811
K Ag Se
1 2 1
direct
0.000 0.000 0.000
0.250 0.750 0.500
0.750 0.250 0.500
0.500 0.500 0.000
```

Summary:
Its magnetization is 0.00 μB/cell. Its calculated total energy is -2.62 eV per atom. The formation energy (no corrections) is -0.206 eV per formula unit.

(12)
First-principles (PBE-GGA) data for a relaxed structure of Sm7PCl12, as listed in the Alexandria database.

```
Sm7PCl12
1.0
7.235 4.177 3.252
-7.235 4.177 3.252
0.000 -8.354 3.252
Sm P Cl
7 1 12
direct
0.000 0.000 0.000
0.177 0.389 0.472
0.389 0.472 0.177
0.472 0.177 0.389
0.528 0.823 0.611
0.611 0.528 0.823
0.823 0.611 0.528
0.500 0.500 0.500
0.033 0.336 0.117
0.117 0.033 0.336
0.186 0.721 0.577
0.279 0.423 0.814
0.336 0.117 0.033
0.423 0.814 0.279
0.577 0.186 0.721
0.664 0.883 0.967
0.721 0.577 0.186
0.814 0.279 0.423
0.883 0.967 0.664
0.967 0.664 0.883
```

Summary:
Its magnetization is 0.00 μB/cell. Its calculated total energy is -5.06 eV per atom. The formation energy (no corrections) is -40.587 eV per formula unit.